The following is a PBE-GGA calculation of a relaxed LiTb2PmPd4 crystal, from Alexandria via LeMat-Bulk.

The calculation puts the total energy at -5.330 eV per atom. The density of states at the Fermi level is 4.29 states/eV per cell. The calculation puts the magnetization at 0.0 Bohr magnetons per cell. As for the space-group type: No. 166. The value obtained for the energy relative to the elements is -5.9 eV/f.u.

a b c (Å): 4.9126 4.9126 8.4475
angles (deg): 73.10 73.10 60.00
Sites, in units of the cell vectors:
Tb 0.2412 0.2412 0.2765
Pd 0.3788 0.3788 0.8637
Li 0.5000 0.5000 0.5000
Pd 0.1218 0.1218 0.6345
Pd 0.8782 0.8782 0.3655
Pm 0.0000 0.0000 0.0000
Tb 0.7588 0.7588 0.7235
Pd 0.6212 0.6212 0.1363